The following is a PBE calculation of a relaxed structure of AcPaOs2, from Alexandria.

Calculated values
The value obtained for the density is 13.7 g/cm³. As for the electronic total energy: -109.8 eV per cell. As for the crystal system: trigonal. For the formation energy, the calculation gives -0.135 eV/atom.

Cell and atoms, written as CIF:
```
data_AcPaOs2
_cell_length_a 4.5426
_cell_length_b 4.5426
_cell_length_c 17.0438
_cell_angle_alpha 90.00
_cell_angle_beta 90.00
_cell_angle_gamma 120.00
_space_group_name_H-M_alt 'R -3 m'
_space_group_IT_number 166
_space_group_name_Hall '-R 3 2"'
loop_
_atom_site_label
_atom_site_fract_x
_atom_site_fract_y
_atom_site_fract_z
Ac1 0.0000 0.0000 0.0000
Pa1 0.0000 0.0000 0.5000
Os1 0.0000 0.0000 0.2042
```